Record 1
A plane-wave DFT calculation with PBE-GGA was carried out for TiReO2 after structural relaxation.

```
TiReO2
1.0
4.664 0.000 0.000
0.000 4.664 0.000
0.000 0.000 9.238
Ti Re O
4 4 8
direct
0.000 0.000 0.000
0.000 0.500 0.250
0.500 0.000 0.750
0.500 0.500 0.500
0.000 0.000 0.500
0.000 0.500 0.750
0.500 0.000 0.250
0.500 0.500 0.000
0.206 0.250 0.125
0.250 0.706 0.375
0.250 0.794 0.875
0.294 0.250 0.625
0.706 0.750 0.625
0.750 0.206 0.875
0.750 0.294 0.375
0.794 0.750 0.125
```

Summary:
Offset from the most stable computed form   0.652 eV/atom
Formation energy (no corrections)   -1.04 eV/atom

---

Record 2
A plane-wave DFT calculation with PBE-GGA was carried out for TiReO2 after structural relaxation.

```
TiReO2
1.0
5.494 0.000 0.000
0.000 5.494 0.000
0.000 0.000 5.494
Ti Re O
4 4 8
direct
0.000 0.000 0.000
0.000 0.500 0.500
0.500 0.000 0.500
0.500 0.500 0.000
0.000 0.000 0.500
0.000 0.500 0.000
0.500 0.000 0.000
0.500 0.500 0.500
0.250 0.250 0.250
0.250 0.250 0.750
0.250 0.750 0.250
0.250 0.750 0.750
0.750 0.250 0.250
0.750 0.250 0.750
0.750 0.750 0.250
0.750 0.750 0.750
```

Summary:
Offset from the most stable computed form   1.228 eV/atom
Formation energy (no corrections)   -0.46 eV/atom

---

Record 3
A plane-wave DFT calculation with PBE-GGA was carried out for TiReO3 after structural relaxation.

```
TiReO3
1.0
3.870 0.000 0.000
0.000 3.870 0.000
0.000 0.000 3.870
Ti Re O
1 1 3
direct
0.000 0.000 0.000
0.500 0.500 0.500
0.000 0.000 0.500
0.000 0.500 0.000
0.500 0.000 0.000
```

Summary:
Formation energy (no corrections)   -0.96 eV/atom

---

Record 4
A plane-wave DFT calculation with PBE-GGA was carried out for TiRe2O8 after structural relaxation.

```
TiRe2O8
1.0
5.060 -3.795 0.000
5.060 3.795 0.000
-0.479 0.000 5.176
Ti Re O
1 2 8
direct
0.000 0.000 0.000
0.192 0.192 0.646
0.808 0.808 0.354
0.064 0.715 0.183
0.137 0.137 0.307
0.285 0.936 0.817
0.361 0.361 0.708
0.639 0.639 0.292
0.715 0.064 0.183
0.863 0.863 0.693
0.936 0.285 0.817
```

Summary:
Formation energy (no corrections)   -1.71 eV/atom